Entry 1:
BeV2Co, relaxed, DFT PBE-GGA; energy = -29.0 eV/cell; V = 46.8 Å³ per cell; DFT formation energy = 0.019 eV per atom
1.0
0.000 2.861 2.861
2.861 0.000 2.861
2.861 2.861 0.000
Be V Co
1 2 1
direct
0.000 0.000 0.000 Be
0.250 0.250 0.250 V
0.750 0.750 0.750 V
0.500 0.500 0.500 Co

Entry 2:
ZnCuIr2, relaxed, DFT PBE-GGA; energy = -22.9 eV/cell; V = 55.5 Å³ per cell; DFT formation energy = 0.060 eV per atom
1.0
-1.929 1.929 3.727
1.929 -1.929 3.727
1.929 1.929 -3.727
Zn Cu Ir
1 1 2
direct
0.000 0.000 0.000 Zn
0.250 0.750 0.500 Cu
0.500 0.500 0.000 Ir
0.750 0.250 0.500 Ir

Entry 3:
CsBaNa2Cl, relaxed, DFT PBE-GGA; energy = -9.9 eV/cell; energy relative to the elements, uncorrected = -0.529 eV/atom; V = 279.8 Å³ per cell
1.0
6.852 0.000 0.000
0.000 6.852 0.000
0.000 0.000 5.961
Cs Ba Na Cl
1 1 2 1
direct
0.000 0.000 0.000 Cs
0.500 0.500 0.000 Ba
0.000 0.500 0.500 Na
0.500 0.000 0.500 Na
0.500 0.500 0.500 Cl

Entry 4:
CdIn2Hg2Pb, relaxed, DFT PBE-GGA; energy = -21.0 eV/cell; V = 322.7 Å³ per cell; DFT formation energy = 0.031 eV per atom
1.0
4.676 0.000 0.000
0.000 9.945 0.000
0.000 0.000 6.940
Cd In Hg Pb
2 4 4 2
direct
0.000 0.179 0.000 Cd
0.000 0.821 0.500 Cd
0.000 0.492 0.432 In
0.000 0.508 0.932 In
0.500 0.327 0.695 In
0.500 0.673 0.195 In
0.000 0.164 0.521 Hg
0.000 0.836 0.021 Hg
0.500 0.345 0.185 Hg
0.500 0.655 0.685 Hg
0.500 0.020 0.276 Pb
0.500 0.980 0.776 Pb

Entry 5:
ZnInPb2, relaxed, DFT PBE-GGA; energy = -11.1 eV/cell; V = 107.2 Å³ per cell; DFT formation energy = 0.094 eV per atom
1.0
-1.795 2.781 5.371
1.795 -2.781 5.371
1.795 2.781 -5.371
Zn In Pb
1 1 2
direct
0.000 0.000 0.000 Zn
0.211 0.711 0.500 In
0.485 0.485 0.000 Pb
0.772 0.272 0.500 Pb

Entry 6:
TcAsPbBr2, relaxed, DFT PBE-GGA; energy = -21.0 eV/cell; energy relative to the elements, uncorrected = 0.218 eV/atom; V = 132.4 Å³ per cell
1.0
5.271 0.000 0.000
0.000 5.271 0.000
0.000 0.000 4.765
Tc As Pb Br
1 1 1 2
direct
0.000 0.000 0.000 Tc
0.000 0.000 0.500 As
0.500 0.500 0.500 Pb
0.000 0.500 0.000 Br
0.500 0.000 0.000 Br